The following is a DFT calculation (PBE) of crystalline MgBF at its relaxed geometry.

## Properties
uncorrected energy = -5.0787 eV per atom
uncorrected formation energy = -1.698 eV per atom
crystal system = trigonal
total magnetization = 0.0 μB per cell
ΔE to the lowest computed polymorph = 7 meV per atom

Structure (CIF):
```
data_MgBF
_cell_length_a 3.0775
_cell_length_b 3.0775
_cell_length_c 8.4756
_cell_angle_alpha 90.00
_cell_angle_beta 90.00
_cell_angle_gamma 120.00
_space_group_name_H-M_alt 'P -3 m 1'
_space_group_IT_number 164
_space_group_name_Hall '-P 3 2"'
loop_
_atom_site_label
_atom_site_type_symbol
_atom_site_fract_x
_atom_site_fract_y
_atom_site_fract_z
Mg1 Mg 0.0000 0.0000 0.2086
B1 B 0.3333 0.6667 0.9978
F1 F 0.3333 0.6667 0.3274
```